1.
Y2SnB2Rh5 after structural relaxation. Source: the Alexandria database, functional PBE.

Output
Calculated formation energy   -78.1 kJ/mol of atoms
D(E_F)   0.29 states/eV per atom
Spin magnetization   0.00 μB/f.u.

a = 9.5954 Å, b = 9.5954 Å, c = 3.2830 Å
α = 90.00°, β = 90.00°, γ = 90.00°
With the nearest neighbours (Å) after each atom.
Space group P4/mbm (No. 127)
Inequivalent atoms, fractional coordinates:
1 Y 0.1758 0.3242 0.0000  3 B 2.76-2.90, 10 Rh 2.90-3.03
2 Sn 0.0000 0.0000 0.0000  8 Rh 2.80
3 B 0.1209 0.6209 0.0000  6 Rh 2.26-2.32
4 Rh 0.0000 0.5000 0.5000  4 B 2.32
5 Rh 0.0705 0.7745 0.5000  2 B 2.26

2.
ZnSn2B2Rh5 after structural relaxation. Source: the Alexandria database, functional PBE.

Output
Calculated formation energy   -30.1 kJ/mol of atoms
D(E_F)   0.36 states/eV per atom
Spin magnetization   0.00 μB/f.u.

a = 9.4823 Å, b = 9.4823 Å, c = 3.0853 Å
α = 90.00°, β = 90.00°, γ = 90.00°
With the nearest neighbours (Å) after each atom.
Space group P4/mbm (No. 127)
Inequivalent atoms, fractional coordinates:
1 Zn 0.0000 0.0000 0.0000  8 Rh 2.67
2 Sn 0.1763 0.3237 0.0000  3 B 2.65-2.91, 6 Rh 2.82-2.86
3 B 0.1260 0.6260 0.0000  6 Rh 2.20-2.29
4 Rh 0.0000 0.5000 0.5000  4 B 2.29
5 Rh 0.0733 0.7822 0.5000  2 B 2.20

3.
SrBRh after structural relaxation. Source: the Alexandria database, functional PBE.

Output
Relative energy among the computed polymorphs   0.0 kJ per mole of atoms
Calculated formation energy   -41.9 kJ/mol of atoms
D(E_F)   0.31 states/eV per atom
Spin magnetization   0.00 μB/f.u.

a = 3.9114 Å, b = 3.9114 Å, c = 8.7283 Å
α = 90.00°, β = 90.00°, γ = 90.00°
With the nearest neighbours (Å) after each atom.
Space group P4/nmm (No. 129, origin choice 2)
Inequivalent atoms, fractional coordinates:
1 Sr 0.2500 0.2500 0.2064  4 Rh 3.22, 5 B 3.25-3.43
2 B 0.2500 0.2500 0.5990  4 Rh 2.14
3 Rh 0.2500 0.7500 0.5000  4 B 2.14